Computed, not measured: crystalline Ba10Ti8NbNiO30 at its relaxed geometry at the GGA+U level of DFT.

Computed properties:
E_tot = -7.789 eV/atom
symmetry = I4/mmm (139)

Cell and atoms, written as POSCAR:
```
Ba10Ti8NbNiO30
1.0
5.699 0.000 0.000
0.000 5.699 0.000
-2.850 -2.850 20.739
Ba Ti Nb Ni O
10 8 1 1 30
Cartesian
0.000 2.850 14.521 Ba
2.850 0.000 18.669 Ba
2.850 0.000 2.071 Ba
0.000 2.850 6.219 Ba
2.850 0.000 10.370 Ba
0.000 2.850 18.669 Ba
0.000 2.850 2.071 Ba
2.850 0.000 6.219 Ba
0.000 2.850 10.370 Ba
2.850 0.000 14.521 Ba
0.000 0.000 4.020 Ti
2.850 2.850 8.421 Ti
0.000 0.000 12.319 Ti
2.850 2.850 16.719 Ti
2.850 2.850 4.255 Ti
0.000 0.000 8.164 Ti
2.850 2.850 12.575 Ti
0.000 0.000 16.484 Ti
2.850 2.850 0.000 Nb
0.000 0.000 0.000 Ni
2.850 2.850 14.406 O
0.000 0.000 18.666 O
0.000 0.000 2.205 O
2.850 2.850 6.139 O
0.000 0.000 10.471 O
-1.428 1.428 16.566 O
4.263 1.437 0.000 O
1.422 4.278 4.173 O
4.275 1.424 8.304 O
1.426 -1.426 12.436 O
-1.428 -1.428 16.566 O
4.263 4.263 0.000 O
1.422 1.422 4.173 O
4.275 4.275 8.304 O
1.426 1.426 12.436 O
2.850 2.850 18.534 O
2.850 2.850 2.073 O
0.000 0.000 6.334 O
2.850 2.850 10.269 O
0.000 0.000 14.600 O
1.428 -1.428 16.566 O
1.437 4.263 0.000 O
4.278 1.422 4.173 O
1.424 4.275 8.304 O
-1.426 1.426 12.436 O
1.428 1.428 16.566 O
1.437 1.437 0.000 O
4.278 4.278 4.173 O
1.424 1.424 8.304 O
-1.426 -1.426 12.436 O
```